Model a:
The following is a DFT calculation (GGA-PBE) of a geometry-optimized PrMgPb3 structure.

abc: 6.506 6.577 13.641
angles: 90.00 90.00 90.15
Element x y z (fractional)
Pr: 0.000 0.750 0.692
Pr: 0.000 0.250 0.308
Pb: 0.496 0.750 0.730
Pb: 0.186 0.750 0.925
Mg: 0.250 0.500 0.116
Pr: 0.500 0.750 0.308
Pb: 0.814 0.250 0.075
Pb: 0.750 0.500 0.501
Pb: 0.250 0.500 0.499
Pb: 0.004 0.250 0.730
Pb: 0.250 0.000 0.499
Pb: 0.314 0.250 0.925
Pb: 0.996 0.750 0.270
Pb: 0.504 0.250 0.270
Mg: 0.750 0.000 0.884
Pb: 0.750 0.000 0.501
Mg: 0.250 0.000 0.116
Pr: 0.500 0.250 0.692
Mg: 0.750 0.500 0.884
Pb: 0.686 0.750 0.075

=====

Model b:
The following is a DFT calculation (GGA-PBE) of a geometry-optimized PrMgPb3 structure.

abc: 3.507 12.409 10.286
angles: 130.44 79.40 116.05
Element x y z (fractional)
Pb: 0.105 0.013 0.842
Pb: 0.567 0.377 0.011
Pb: 0.433 0.623 0.989
Pr: 0.175 0.704 0.754
Pb: 0.791 0.656 0.425
Pr: 0.825 0.296 0.246
Pb: 0.895 0.987 0.158
Pb: 0.209 0.344 0.575
Mg: 0.123 0.864 0.331
Mg: 0.877 0.136 0.669

=====

model a wins, 116 meV per atom ahead of the next structure.

=====

Model a:
The following is a DFT calculation (GGA-PBE) of a geometry-optimized PrMg2Pb2 structure.

abc: 5.189 5.189 13.177
angles: 90.00 90.00 120.00
Element x y z (fractional)
Pb: 0.333 0.667 0.879
Mg: 0.000 0.000 0.000
Pr: 0.000 0.000 0.250
Pb: 0.333 0.667 0.621
Pr: 0.000 0.000 0.750
Pb: 0.667 0.333 0.379
Pb: 0.667 0.333 0.121
Mg: 0.333 0.667 0.250
Mg: 0.000 0.000 0.500
Mg: 0.667 0.333 0.750

=====

Model b:
The following is a DFT calculation (GGA-PBE) of a geometry-optimized PrMg2Pb2 structure.

abc: 4.626 4.660 12.876
angles: 90.00 100.35 90.00
Element x y z (fractional)
Pr: 0.647 0.750 0.294
Pb: 0.251 0.750 0.502
Pr: 0.353 0.250 0.706
Mg: 0.459 0.750 0.918
Mg: 0.043 0.750 0.086
Pb: 0.877 0.750 0.754
Pb: 0.749 0.250 0.498
Mg: 0.957 0.250 0.914
Pb: 0.123 0.250 0.246
Mg: 0.541 0.250 0.082

=====

model b wins, 338 meV per atom ahead of the next structure.

=====

Model a:
The following is a DFT calculation (GGA-PBE) of a geometry-optimized PrMg2Pb structure.

abc: 4.914 4.681 4.681
angles: 90.00 90.00 90.00
Element x y z (fractional)
Pr: 0.500 0.500 0.500
Pb: 0.500 0.000 0.000
Mg: 0.000 0.000 0.500
Mg: 0.000 0.500 0.000

=====

Model b:
The following is a DFT calculation (GGA-PBE) of a geometry-optimized PrMg2Pb structure.

abc: 3.650 3.650 8.386
angles: 90.00 90.00 90.00
Element x y z (fractional)
Pb: 0.500 0.500 0.000
Mg: 0.000 0.000 0.227
Pr: 0.500 0.500 0.500
Mg: 0.000 0.000 0.773

=====

model a wins, 206 meV per atom ahead of the next structure.

=====

Model a:
The following is a DFT calculation (GGA-PBE) of a geometry-optimized PrMgSnPb structure.

abc: 4.579 4.894 4.863
angles: 90.00 90.00 90.00
Element x y z (fractional)
Mg: 0.500 0.500 0.000
Pr: 0.500 0.000 0.500
Sn: 0.000 0.000 0.000
Pb: 0.000 0.500 0.500

=====

Model b:
The following is a DFT calculation (GGA-PBE) of a geometry-optimized PrMgSnPb structure.

abc: 5.420 5.420 5.420
angles: 60.00 60.00 60.00
Element x y z (fractional)
Pb: 0.750 0.750 0.750
Mg: 0.500 0.500 0.500
Sn: 0.250 0.250 0.250
Pr: 0.000 0.000 0.000

=====

model a wins, 174 meV per atom ahead of the next structure.

=====

Model a:
The following is a DFT calculation (GGA-PBE) of a geometry-optimized PrMgTlPb structure.

abc: 4.578 4.853 5.000
angles: 90.00 90.00 90.00
Element x y z (fractional)
Tl: 0.000 0.000 0.000
Pr: 0.500 0.000 0.500
Mg: 0.500 0.500 0.000
Pb: 0.000 0.500 0.500

=====

Model b:
The following is a DFT calculation (GGA-PBE) of a geometry-optimized PrMgTlPb structure.

abc: 5.440 5.440 5.440
angles: 60.00 60.00 60.00
Element x y z (fractional)
Mg: 0.750 0.750 0.750
Pb: 0.500 0.500 0.500
Tl: 0.000 0.000 0.000
Pr: 0.250 0.250 0.250

=====

model a wins, 126 meV per atom ahead of the next structure.

=====

Model a:
The following is a DFT calculation (GGA-PBE) of a geometry-optimized Mg2PtPb2 structure.

abc: 6.933 6.933 5.003
angles: 90.00 90.00 90.00
Element x y z (fractional)
Pt: 0.500 0.500 0.000
Pb: 0.171 0.671 0.500
Mg: 0.657 0.157 0.000
Pb: 0.829 0.329 0.500
Mg: 0.157 0.343 0.000
Pt: 0.000 0.000 0.000
Pb: 0.329 0.171 0.500
Mg: 0.343 0.843 0.000
Mg: 0.843 0.657 0.000
Pb: 0.671 0.829 0.500

=====

Model b:
The following is a DFT calculation (GGA-PBE) of a geometry-optimized Mg2PtPb2 structure.

abc: 7.301 7.301 4.574
angles: 90.00 90.00 90.00
Element x y z (fractional)
Mg: 0.839 0.339 0.500
Pb: 0.349 0.849 0.000
Mg: 0.161 0.661 0.500
Mg: 0.661 0.839 0.500
Pb: 0.651 0.151 0.000
Mg: 0.339 0.161 0.500
Pt: 0.000 0.000 0.000
Pb: 0.151 0.349 0.000
Pt: 0.500 0.500 0.000
Pb: 0.849 0.651 0.000

=====

model a wins, 116 meV per atom ahead of the next structure.

=====

Model a:
The following is a DFT calculation (GGA-PBE) of a geometry-optimized Sr2MgPtPb structure.

abc: 6.129 4.678 6.129
angles: 90.00 90.00 90.00
Element x y z (fractional)
Sr: 0.500 0.000 0.000
Mg: 0.000 0.000 0.000
Sr: 0.000 0.000 0.500
Pt: 0.000 0.500 0.000
Pb: 0.500 0.500 0.500

=====

Model b:
The following is a DFT calculation (GGA-PBE) of a geometry-optimized Sr2MgPtPb structure.

abc: 5.823 5.823 5.047
angles: 90.00 90.00 90.00
Element x y z (fractional)
Sr: 0.500 0.000 0.000
Mg: 0.000 0.000 0.500
Pb: 0.500 0.500 0.500
Pt: 0.000 0.000 0.000
Sr: 0.000 0.500 0.000

=====

model b wins, 481 meV per atom ahead of the next structure.

=====

Model a:
The following is a DFT calculation (GGA-PBE) of a geometry-optimized Pu2MgPb3 structure.

abc: 10.430 3.553 9.771
angles: 100.23 122.26 90.00
Element x y z (fractional)
Pu: 0.742 0.921 0.343
Mg: 0.120 0.250 0.000
Mg: 0.880 0.750 0.000
Pb: 0.371 0.750 0.000
Pb: 0.691 0.084 0.673
Pu: 0.399 0.579 0.657
Pb: 0.982 0.584 0.673
Pu: 0.258 0.079 0.657
Pu: 0.601 0.421 0.343
Pb: 0.629 0.250 0.000
Pb: 0.018 0.416 0.327
Pb: 0.309 0.916 0.327

=====

Model b:
The following is a DFT calculation (GGA-PBE) of a geometry-optimized Pu2MgPb3 structure.

abc: 3.443 3.443 13.814
angles: 90.00 90.00 90.00
Last column: magnetic moment on the atom in μB.
Element x y z (fractional)
Pb: 0.000 0.000 0.345  -0.02
Pb: 0.000 0.000 0.000  -0.06
Mg: 0.500 0.500 0.500  0.00
Pb: 0.000 0.000 0.655  -0.02
Pu: 0.500 0.500 0.170  5.61
Pu: 0.500 0.500 0.830  5.61

=====

model b wins, 202 meV per atom ahead of the next structure.